[1]
## CeTm2Sc6 (GGA-PBE)

Data for an optimized crystal structure of CeTm2Sc6.

## Properties
ΔE_f: 653 meV/atom
Relative energy among the computed polymorphs: 57.41 kJ/mol of atoms

a b c (Å): 5.0189 5.0189 20.5700
angles (deg): 90.00 90.00 90.00
Last column: nearest neighbours and their distance in Å.
Space group P4_2/mnm (No. 136)
One atom of each set of equivalent atoms:
Ce (0.0000, 0.0000, 0.0000) [2 per cell]  2 Sc 2.34
Tm (0.0000, 0.0000, 0.2426) [4 per cell]  4 Sc 3.21-3.34, 4 Tm 3.56
Sc (0.1705, 0.1705, 0.5000) [4 per cell]  1 Ce 2.34, 1 Sc 2.42
Sc (0.2344, 0.7656, 0.3836) [8 per cell]  1 Ce 3.05, 3 Sc 3.16-3.33, 2 Tm 3.21-3.34



[2]
## ScCdFe3 (GGA-PBE)

Data for an optimized crystal structure of ScCdFe3.

## Properties
ΔE_f: 1252 meV/atom
Relative energy among the computed polymorphs: 0.00 kJ/mol of atoms

a b c (Å): 4.4749 4.4749 4.4749
angles (deg): 90.00 90.00 90.00
Last column: nearest neighbours and their distance in Å.
Space group Pm-3m (No. 221)
One atom of each set of equivalent atoms:
Sc (0.0000, 0.0000, 0.0000) [1 per cell]  6 Fe 2.24
Cd (0.5000, 0.5000, 0.5000) [1 per cell]  12 Fe 3.16
Fe (0.0000, 0.0000, 0.5000) [3 per cell]  2 Sc 2.24



[3]
## LaTl2TePd (GGA-PBE)

Data for an optimized crystal structure of LaTl2TePd.

## Properties
ΔE_f (raw): -533.7 meV/atom

a b c (Å): 5.2773 5.2773 5.5758
angles (deg): 90.00 90.00 90.00
Last column: nearest neighbours and their distance in Å.
Space group P4/mmm (No. 123)
One atom of each set of equivalent atoms:
La (0.0000, 0.0000, 0.0000) [1 per cell]  2 Pd 2.79
Tl (0.0000, 0.5000, 0.5000) [2 per cell]  2 Pd 2.64
Te (0.5000, 0.5000, 0.0000) [1 per cell]  4 La 3.73, 8 Tl 3.84
Pd (0.0000, 0.0000, 0.5000) [1 per cell]  4 Tl 2.64, 2 La 2.79



[4]
## ScTc2Pb (GGA-PBE)

Data for an optimized crystal structure of ScTc2Pb.

## Properties
ΔE_f: 524 meV/atom
Relative energy among the computed polymorphs: 52.11 kJ/mol of atoms

a b c (Å): 4.1338 4.1338 19.3926
angles (deg): 90.00 90.00 90.00
Last column: nearest neighbours and their distance in Å.
Space group I-42d (No. 122)
One atom of each set of equivalent atoms:
Sc (0.0000, 0.0000, 0.0000) [4 per cell]  4 Tc 2.72, 4 Pb 2.92
Tc (0.1625, 0.2500, 0.1250) [8 per cell]  2 Tc 2.47, 2 Sc 2.72
Pb (0.0000, 0.0000, 0.5000) [4 per cell]  4 Sc 2.92, 4 Tc 2.98



[5]
## SrLaIr3 (GGA-PBE)

Data for an optimized crystal structure of SrLaIr3.

## Properties
ΔE_f: 1502 meV/atom
Relative energy among the computed polymorphs: 46.53 kJ/mol of atoms

a b c (Å): 5.0031 5.0031 5.0031
angles (deg): 90.00 90.00 90.00
Last column: nearest neighbours and their distance in Å.
Space group Pm-3m (No. 221)
One atom of each set of equivalent atoms:
Sr (0.0000, 0.0000, 0.0000) [1 per cell]  6 Ir 2.50
La (0.5000, 0.5000, 0.5000) [1 per cell]  12 Ir 3.54
Ir (0.0000, 0.0000, 0.5000) [3 per cell]  2 Sr 2.50



[6]
## Ca2CdCo (GGA-PBE)

Data for an optimized crystal structure of Ca2CdCo.

## Properties
ΔE_f: 209 meV/atom

a b c (Å): 4.4670 4.4670 9.5943
angles (deg): 90.00 90.00 90.00
Last column: nearest neighbours and their distance in Å.
Space group I-4m2 (No. 119)
One atom of each set of equivalent atoms:
Ca (0.0000, 0.0000, 0.0000) [2 per cell]  4 Co 3.16, 4 Cd 3.28, 4 Ca 3.28
Ca (0.0000, 0.5000, 0.2500) [2 per cell]  4 Cd 3.16, 4 Co 3.28, 4 Ca 3.28
Cd (0.0000, 0.5000, 0.7500) [2 per cell]  8 Ca 3.16-3.28, 4 Co 3.28
Co (0.0000, 0.0000, 0.5000) [2 per cell]  8 Ca 3.16-3.28, 4 Cd 3.28



Computed M_tot, in the same sequence as the records: 0.0, 5.9, 0.0, 0.0, 0.0, 1.8 μB per cell.